Here is an optimized crystal structure of Sm4Th3Sc from Alexandria. Energies are from GGA-PBE.

The structure in POSCAR format:
```
Sm4Th3Sc
1.0
5.014 0.000 0.000
0.000 10.057 0.000
0.000 0.000 10.156
Sm Th Sc
8 6 2
Cartesian
1.253 0.028 1.358
1.253 2.514 8.786
1.253 5.001 1.358
1.253 7.543 8.797
3.760 2.514 1.359
3.760 5.056 8.798
3.760 7.543 1.370
3.760 10.029 8.798
1.253 0.005 6.280
1.253 5.023 6.280
1.253 7.543 3.882
3.760 10.052 3.876
3.760 2.514 6.274
3.760 5.033 3.876
1.253 2.514 3.891
3.760 7.543 6.264
```

## Properties
For the formation energy, the calculation gives 0.0357 eV per atom. The value obtained for the density of states at the Fermi level is 1.41 states/eV/atom. The value obtained for the energy is -94.4 eV per cell.